# Cs2TlGe, optimized geometry, DFT PBE
# raw total energy = -35.0 eV for the cell shown
# formation energy = -0.0124 eV per atom
# calculated density = 3.817 g cm⁻³
# space group = P2_1/c (14)
data_Cs2TlGe
_cell_length_a 7.346
_cell_length_b 11.983
_cell_length_c 12.459
_cell_angle_alpha 120.54
_cell_angle_beta 90.00
_cell_angle_gamma 90.00
_space_group_name_H-M_alt 'P 1'
_space_group_IT_number 1
_space_group_name_Hall 'P 1'
loop_
_atom_site_label
_atom_site_fract_x
_atom_site_fract_y
_atom_site_fract_z
Cs1 0.891 0.597 0.685
Cs2 0.251 0.920 0.821
Cs3 0.751 0.580 0.179
Cs4 0.609 0.097 0.685
Cs5 0.749 0.080 0.179
Cs6 0.109 0.403 0.315
Cs7 0.391 0.903 0.315
Cs8 0.249 0.420 0.821
Ge1 0.414 0.554 0.602
Ge2 0.914 0.946 0.398
Ge3 0.586 0.446 0.398
Ge4 0.086 0.054 0.602
Tl1 0.499 0.281 0.500
Tl2 0.001 0.781 0.500
Tl3 0.501 0.719 0.500
Tl4 0.999 0.219 0.500